Record 1
{
  "formula": "NdDyTe2Cl",
  "functional": "PBE",
  "state": "optimized geometry",
  "lattice": [[-4.263, -0.651, -0.558], [-0.152, -2.209, 3.743], [-2.920, 12.768, 7.416]],
  "species": ["Nd", "Nd", "Dy", "Dy", "Te", "Te", "Te", "Te", "Cl", "Cl"],
  "frac_coords": [[0.500, 0.000, 0.634], [0.000, 0.500, 0.366], [0.500, 0.000, 0.084], [0.000, 0.500, 0.916], [0.000, 0.500, 0.706], [0.000, 0.500, 0.123], [0.500, 0.000, 0.877], [0.500, 0.000, 0.294], [0.000, 0.000, 0.500], [0.500, 0.500, 0.500]],
  "e_form_raw_ev_per_atom": -1.60,
  "n_ef_per_ev_atom": 0.28
}

---

Record 2
{
  "formula": "DyNiCl",
  "functional": "PBE",
  "state": "optimized geometry",
  "lattice": [[3.943, -0.018, -0.021], [-1.957, 3.423, 0.021], [-1.872, -1.190, 10.558]],
  "species": ["Dy", "Dy", "Ni", "Ni", "Cl", "Cl"],
  "frac_coords": [[0.885, 0.440, 0.325], [0.115, 0.560, 0.675], [0.324, 0.162, 0.485], [0.676, 0.838, 0.515], [0.554, 0.282, 0.836], [0.446, 0.718, 0.164]],
  "e_form_raw_ev_per_atom": -1.25,
  "n_ef_per_ev_atom": 0.79
}

---

Record 3
{
  "formula": "Dy4NiCl5",
  "functional": "PBE",
  "state": "optimized geometry",
  "lattice": [[-3.408, -0.031, -1.796], [1.970, -7.042, -3.615], [-2.267, -2.647, 8.481]],
  "species": ["Dy", "Dy", "Dy", "Dy", "Ni", "Cl", "Cl", "Cl", "Cl", "Cl"],
  "frac_coords": [[0.350, 0.917, 0.701], [0.999, 0.779, 0.998], [0.650, 0.083, 0.299], [0.001, 0.221, 0.002], [0.500, 0.000, 0.000], [0.832, 0.672, 0.665], [0.822, 0.146, 0.644], [0.178, 0.854, 0.356], [0.500, 0.500, 0.000], [0.168, 0.328, 0.335]],
  "e_form_raw_ev_per_atom": -1.60,
  "n_ef_per_ev_atom": 0.37
}

---

no.,total magnetic moment (μB per formula unit)
1,0.00
2,0.00
3,0.00